Density functional theory data (PBE) for a relaxed structure of ScZnGa2Pt.

```
data_ScZnGa2Pt
_symmetry_space_group_name_H-M 'P 4/m m m'
_symmetry_Int_Tables_number 123
_symmetry_space_group_name_Hall '-P 4 2'
_cell_length_a 5.320
_cell_length_b 5.320
_cell_length_c 4.795
_cell_angle_alpha 90.00
_cell_angle_beta 90.00
_cell_angle_gamma 90.00
loop_
_atom_site_label
_atom_site_fract_x
_atom_site_fract_y
_atom_site_fract_z
Sc1 0.000 0.000 0.000
Zn1 0.500 0.500 0.500
Ga1 0.000 0.500 0.000
Pt1 0.000 0.000 0.500
```

Properties
Formation enthalpy at 0 K ... 0.570 eV per atom

***

Density functional theory data (PBE) for a relaxed structure of ScZnGa2Pt2.

```
data_ScZnGa2Pt2
_symmetry_space_group_name_H-M 'P -3 m 1'
_symmetry_Int_Tables_number 164
_symmetry_space_group_name_Hall '-P 3 2"'
_cell_length_a 4.3879
_cell_length_b 4.3879
_cell_length_c 5.9024
_cell_angle_alpha 90.00
_cell_angle_beta 90.00
_cell_angle_gamma 120.00
loop_
_atom_site_label
_atom_site_fract_x
_atom_site_fract_y
_atom_site_fract_z
Sc1 0.0000 0.0000 0.0000
Zn1 0.0000 0.0000 0.5000
Ga1 0.3333 0.6667 0.2634
Pt1 0.3333 0.6667 0.7373
```

Properties
Formation enthalpy at 0 K ... -0.762 eV per atom

***

Density functional theory data (PBE) for a relaxed structure of Sc4ZnGa2Pt.

```
data_Sc4ZnGa2Pt
_symmetry_space_group_name_H-M 'R -3 m'
_symmetry_Int_Tables_number 166
_symmetry_space_group_name_Hall '-R 3 2"'
_cell_length_a 4.7291
_cell_length_b 4.7291
_cell_length_c 23.1168
_cell_angle_alpha 90.00
_cell_angle_beta 90.00
_cell_angle_gamma 120.00
loop_
_atom_site_label
_atom_site_fract_x
_atom_site_fract_y
_atom_site_fract_z
Sc1 0.0000 0.0000 0.1227
Sc2 0.0000 0.0000 0.3732
Zn1 0.0000 0.0000 0.5000
Ga1 0.0000 0.0000 0.2466
Pt1 0.0000 0.0000 0.0000
```

Properties
Formation enthalpy at 0 K ... -0.725 eV per atom

***

Density functional theory data (PBE) for a relaxed structure of Ga2Pt2Se.

```
data_Ga2Pt2Se
_symmetry_space_group_name_H-M 'P 4/m b m'
_symmetry_Int_Tables_number 127
_symmetry_space_group_name_Hall '-P 4 2ab'
_cell_length_a 7.645
_cell_length_b 7.645
_cell_length_c 2.854
_cell_angle_alpha 90.00
_cell_angle_beta 90.00
_cell_angle_gamma 90.00
loop_
_atom_site_label
_atom_site_fract_x
_atom_site_fract_y
_atom_site_fract_z
Ga1 0.152 0.348 0.000
Pt1 0.145 0.645 0.500
Se1 0.000 0.000 0.500
```

Properties
E above lowest polymorph ... 0 meV per atom
Formation energy (no corrections) ... -1.88 eV/f.u.

***

Density functional theory data (PBE) for a relaxed structure of GaPtSe2.

```
data_GaPtSe2
_symmetry_space_group_name_H-M 'R -3 m'
_symmetry_Int_Tables_number 166
_symmetry_space_group_name_Hall '-R 3 2"'
_cell_length_a 3.6923
_cell_length_b 3.6923
_cell_length_c 22.9426
_cell_angle_alpha 90.00
_cell_angle_beta 90.00
_cell_angle_gamma 120.00
loop_
_atom_site_label
_atom_site_fract_x
_atom_site_fract_y
_atom_site_fract_z
Ga1 0.0000 0.0000 0.0000
Pt1 0.0000 0.0000 0.5000
Se1 0.0000 0.0000 0.3967
```

Properties
Formation energy (no corrections) ... -0.14 eV/f.u.

***

Density functional theory data (PBE) for a relaxed structure of GaPtSe2.

```
data_GaPtSe2
_symmetry_space_group_name_H-M 'R -3 m'
_symmetry_Int_Tables_number 166
_symmetry_space_group_name_Hall '-R 3 2"'
_cell_length_a 3.7138
_cell_length_b 3.7138
_cell_length_c 25.6721
_cell_angle_alpha 90.00
_cell_angle_beta 90.00
_cell_angle_gamma 120.00
loop_
_atom_site_label
_atom_site_fract_x
_atom_site_fract_y
_atom_site_fract_z
Ga1 0.0000 0.0000 0.0000
Pt1 0.0000 0.0000 0.5000
Se1 0.0000 0.0000 0.1141
```

Properties
Formation energy (no corrections) ... -0.54 eV/f.u.

***

Density functional theory data (PBE) for a relaxed structure of GaPtSe3.

```
data_GaPtSe3
_symmetry_space_group_name_H-M 'P m -3 m'
_symmetry_Int_Tables_number 221
_symmetry_space_group_name_Hall '-P 4 2 3'
_cell_length_a 5.040
_cell_length_b 5.040
_cell_length_c 5.040
_cell_angle_alpha 90.00
_cell_angle_beta 90.00
_cell_angle_gamma 90.00
loop_
_atom_site_label
_atom_site_fract_x
_atom_site_fract_y
_atom_site_fract_z
Ga1 0.000 0.000 0.000
Pt1 0.500 0.500 0.500
Se1 0.000 0.500 0.500
```

Properties
E above lowest polymorph ... 0 meV per atom
Formation energy (no corrections) ... 1.58 eV/f.u.

***

Density functional theory data (PBE) for a relaxed structure of GaPt2Se.

```
data_GaPt2Se
_symmetry_space_group_name_H-M 'I -4 2 d'
_symmetry_Int_Tables_number 122
_symmetry_space_group_name_Hall 'I -4 2bw'
_cell_length_a 4.288
_cell_length_b 4.288
_cell_length_c 16.102
_cell_angle_alpha 90.00
_cell_angle_beta 90.00
_cell_angle_gamma 90.00
loop_
_atom_site_label
_atom_site_fract_x
_atom_site_fract_y
_atom_site_fract_z
Ga1 0.000 0.000 0.000
Pt1 0.242 0.250 0.625
Se1 0.000 0.000 0.500
```

Properties
Formation energy (no corrections) ... -0.85 eV/f.u.

***

Density functional theory data (PBE) for a relaxed structure of GaPtSe3.

```
data_GaPtSe3
_symmetry_space_group_name_H-M 'P m -3 m'
_symmetry_Int_Tables_number 221
_symmetry_space_group_name_Hall '-P 4 2 3'
_cell_length_a 4.869
_cell_length_b 4.869
_cell_length_c 4.869
_cell_angle_alpha 90.00
_cell_angle_beta 90.00
_cell_angle_gamma 90.00
loop_
_atom_site_label
_atom_site_fract_x
_atom_site_fract_y
_atom_site_fract_z
Ga1 0.000 0.000 0.000
Pt1 0.500 0.500 0.500
Se1 0.000 0.000 0.500
```

Properties
E above lowest polymorph ... 498 meV per atom
Formation energy (no corrections) ... 4.07 eV/f.u.

***

Density functional theory data (PBE) for a relaxed structure of Ga3PtSe.

```
data_Ga3PtSe
_symmetry_space_group_name_H-M 'P m -3 m'
_symmetry_Int_Tables_number 221
_symmetry_space_group_name_Hall '-P 4 2 3'
_cell_length_a 4.856
_cell_length_b 4.856
_cell_length_c 4.856
_cell_angle_alpha 90.00
_cell_angle_beta 90.00
_cell_angle_gamma 90.00
loop_
_atom_site_label
_atom_site_fract_x
_atom_site_fract_y
_atom_site_fract_z
Ga1 0.000 0.000 0.500
Pt1 0.000 0.000 0.000
Se1 0.500 0.500 0.500
```

Properties
E above lowest polymorph ... 0 meV per atom
Formation energy (no corrections) ... -1.60 eV/f.u.

***

Density functional theory data (PBE) for a relaxed structure of Ga2Pt2Se.

```
data_Ga2Pt2Se
_symmetry_space_group_name_H-M 'I 4/m m m'
_symmetry_Int_Tables_number 139
_symmetry_space_group_name_Hall '-I 4 2'
_cell_length_a 3.858
_cell_length_b 3.858
_cell_length_c 12.084
_cell_angle_alpha 90.00
_cell_angle_beta 90.00
_cell_angle_gamma 90.00
loop_
_atom_site_label
_atom_site_fract_x
_atom_site_fract_y
_atom_site_fract_z
Ga1 0.000 0.500 0.250
Pt1 0.000 0.000 0.117
Se1 0.000 0.000 0.500
```

Properties
E above lowest polymorph ... 63 meV per atom
Formation energy (no corrections) ... -1.57 eV/f.u.

***

Density functional theory data (PBE) for a relaxed structure of GaPt2Se.

```
data_GaPt2Se
_symmetry_space_group_name_H-M 'F m -3 m'
_symmetry_Int_Tables_number 225
_symmetry_space_group_name_Hall '-F 4 2 3'
_cell_length_a 6.410
_cell_length_b 6.410
_cell_length_c 6.410
_cell_angle_alpha 90.00
_cell_angle_beta 90.00
_cell_angle_gamma 90.00
loop_
_atom_site_label
_atom_site_fract_x
_atom_site_fract_y
_atom_site_fract_z
Ga1 0.000 0.000 0.000
Pt1 0.250 0.250 0.250
Se1 0.000 0.000 0.500
```

Properties
Formation energy (no corrections) ... -0.16 eV/f.u.

***

Density functional theory data (PBE) for a relaxed structure of GaPt2Se4.

```
data_GaPt2Se4
_symmetry_space_group_name_H-M 'I 4/m m m'
_symmetry_Int_Tables_number 139
_symmetry_space_group_name_Hall '-I 4 2'
_cell_length_a 4.855
_cell_length_b 4.855
_cell_length_c 15.163
_cell_angle_alpha 90.00
_cell_angle_beta 90.00
_cell_angle_gamma 90.00
loop_
_atom_site_label
_atom_site_fract_x
_atom_site_fract_y
_atom_site_fract_z
Ga1 0.000 0.000 0.000
Pt1 0.000 0.000 0.412
Se1 0.000 0.000 0.259
Se2 0.000 0.500 0.000
```

Properties
Formation energy (no corrections) ... 1.51 eV/f.u.

***

Number 1: magnetic moment 0.0 μB per cell. Number 2: magnetic moment 0.0 μB per cell. Number 3: magnetic moment 0.0 μB per cell. Number 4: magnetic moment 0.0 μB per cell. Number 5: magnetic moment 0.0 μB per cell. Number 6: magnetic moment 0.0 μB per cell. Number 7: magnetic moment 1.2 μB per cell. Number 8: magnetic moment 0.0 μB per cell. Number 9: magnetic moment 0.0 μB per cell. Number 10: magnetic moment 0.0 μB per cell. Number 11: magnetic moment 0.0 μB per cell. Number 12: magnetic moment 0.0 μB per cell. Number 13: magnetic moment 0.0 μB per cell.